# Re3Mo

An optimized crystal structure of Re3Mo (PBE, Alexandria via LeMat-Bulk).

Geometry as POSCAR:
```
Re3Mo
1.0
2.777 0.000 0.000
0.000 7.930 0.000
0.000 0.000 2.777
Re Mo
3 1
Cartesian
1.389 2.048 1.389 Re
1.389 5.882 1.389 Re
0.000 3.965 0.000 Re
0.000 0.000 0.000 Mo
```

Values from the calculation:
Energy relative to the lowest polymorph listed for this composition = 2.5 kJ/mol of atoms
E_tot = -11.9297 eV/atom
ΔE_f = 0.1141 eV/atom
Theoretical density = 17.77 g/cm³
Total magnetic moment = 0.00 Bohr magnetons per cell